Entry 1:
A plane-wave DFT calculation with GGA-PBE was carried out for Ac2TbNd3Te6 after structural relaxation.

Calculated values
As for the space-group type: C2/m, No. 12. The formation energy from raw total energies comes out at -1417 meV per atom.

Cell and atoms, written as POSCAR:
```
Ac2TbNd3Te6
1.0
7.8973 -0.0145 -0.0047
-3.9592 6.8331 -0.0047
-1.3182 -2.2825 7.4494
Ac Tb Nd Te
2 1 3 6
direct
0.3354 0.6646 0.0000
0.6646 0.3354 0.0000
0.0000 0.0000 0.0000
0.1785 0.8215 0.5000
0.8215 0.1785 0.5000
0.5000 0.5000 0.5000
0.9177 0.5995 0.7482
0.7720 0.7720 0.2643
0.0823 0.4005 0.2518
0.5995 0.9177 0.7482
0.2280 0.2280 0.7357
0.4005 0.0823 0.2518
```

***

Entry 2:
A plane-wave DFT calculation with GGA-PBE was carried out for AcTbNd2Tl4 after structural relaxation.

Calculated values
As for the space-group type: R-3m, No. 166. Its formation energy is -347 meV per atom.

Cell and atoms, written as POSCAR:
```
AcTbNd2Tl4
1.0
5.5742 0.0000 0.0000
2.7871 4.8274 0.0000
2.7871 1.6091 9.1567
Ac Tb Nd Tl
1 1 2 4
direct
0.0000 0.0000 0.0000
0.5000 0.5000 0.5000
0.7514 0.7514 0.7459
0.2486 0.2486 0.2541
0.3795 0.3795 0.8616
0.8718 0.8718 0.3847
0.1282 0.1282 0.6153
0.6205 0.6205 0.1384
```

***

Entry 3:
A plane-wave DFT calculation with GGA-PBE was carried out for AcTb2NdTm after structural relaxation.

Calculated values
As for the space-group type: Cmcm, No. 63. Its formation energy is 358 meV per atom.

Cell and atoms, written as POSCAR:
```
AcTb2NdTm
1.0
7.3387 0.0000 0.0000
0.0000 8.5212 0.0000
0.0000 -4.2606 5.9523
Ac Tb Nd Tm
2 4 2 2
direct
0.2500 0.7419 0.4838
0.7500 0.2581 0.5162
0.5000 0.3124 0.0000
0.0000 0.6876 0.0000
0.5000 0.6876 0.0000
0.0000 0.3124 0.0000
0.2500 0.0226 0.0453
0.7500 0.9774 0.9547
0.7500 0.7041 0.4081
0.2500 0.2959 0.5919
```

***

Entry 4:
A plane-wave DFT calculation with GGA-PBE was carried out for AcTbNd5Tm2 after structural relaxation.

Calculated values
As for the space-group type: Cmc2_1, No. 36. Its formation energy is 82 meV per atom.

Cell and atoms, written as POSCAR:
```
AcTbNd5Tm2
1.0
5.8219 0.0000 0.0000
-2.9109 8.7824 0.0000
0.0000 0.0000 12.2364
Ac Tb Nd Tm
2 2 10 4
direct
0.6151 0.2301 0.9233
0.3849 0.7699 0.4233
0.7474 0.4949 0.4238
0.2526 0.5051 0.9238
0.4199 0.8397 0.0884
0.7686 0.5372 0.7200
0.4227 0.8454 0.7673
0.2304 0.4607 0.6287
0.9396 0.8792 0.5711
0.5801 0.1603 0.5884
0.2314 0.4628 0.2200
0.5773 0.1546 0.2673
0.7696 0.5393 0.1287
0.0604 0.1208 0.0711
0.8891 0.7783 0.9235
0.0621 0.1242 0.7778
0.1109 0.2217 0.4235
0.9379 0.8758 0.2778
```